Density functional theory data (PBE) for a relaxed BaTeAu2 crystal.

```
data_BaTeAu2
_chemical_formula_sum 'Ba1 Te1 Au2'
_symmetry_space_group_name_H-M 'P 1'
_symmetry_Int_Tables_number 1
_cell_length_a 5.432
_cell_length_b 5.432
_cell_length_c 5.432
_cell_angle_alpha 60.00
_cell_angle_beta 60.00
_cell_angle_gamma 60.00
loop_
_symmetry_equiv_pos_as_xyz
'x,y,z'
loop_
_atom_site_label
_atom_site_type_symbol
_atom_site_fract_x
_atom_site_fract_y
_atom_site_fract_z
Ba1 Ba 0.000 0.000 0.000
Te1 Te 0.250 0.250 0.250
Au1 Au 0.500 0.500 0.500
Au2 Au 0.750 0.750 0.750
```

## Properties
Fermi-level density of states: 0.80 states/eV/cell
crystal system: cubic
size of the total moment: 0.0 μB per cell
raw formation energy: -420.0 meV per atom

=====

Density functional theory data (PBE) for a relaxed Ba2TeAu crystal.

```
data_Ba2TeAu
_chemical_formula_sum 'Ba2 Te1 Au1'
_symmetry_space_group_name_H-M 'P 1'
_symmetry_Int_Tables_number 1
_cell_length_a 8.777
_cell_length_b 8.777
_cell_length_c 8.777
_cell_angle_alpha 31.96
_cell_angle_beta 31.96
_cell_angle_gamma 31.96
loop_
_symmetry_equiv_pos_as_xyz
'x,y,z'
loop_
_atom_site_label
_atom_site_type_symbol
_atom_site_fract_x
_atom_site_fract_y
_atom_site_fract_z
Ba1 Ba 0.000 0.000 0.000
Ba2 Ba 0.175 0.175 0.175
Te1 Te 0.421 0.421 0.421
Au1 Au 0.587 0.587 0.587
```

## Properties
Fermi-level density of states: 2.78 states/eV/cell
crystal system: trigonal
size of the total moment: 0.5 μB per cell
raw formation energy: -1118.4 meV per atom

=====

Density functional theory data (PBE) for a relaxed Ba2TeAu crystal.

```
data_Ba2TeAu
_chemical_formula_sum 'Ba2 Te1 Au1'
_symmetry_space_group_name_H-M 'P 1'
_symmetry_Int_Tables_number 1
_cell_length_a 4.873
_cell_length_b 4.873
_cell_length_c 8.608
_cell_angle_alpha 106.39
_cell_angle_beta 106.39
_cell_angle_gamma 59.99
loop_
_symmetry_equiv_pos_as_xyz
'x,y,z'
loop_
_atom_site_label
_atom_site_type_symbol
_atom_site_fract_x
_atom_site_fract_y
_atom_site_fract_z
Ba1 Ba 0.247 0.247 0.241
Ba2 Ba 0.753 0.753 0.759
Te1 Te 0.000 0.000 0.500
Au1 Au 0.500 0.500 0.000
```

## Properties
Fermi-level density of states: 2.88 states/eV/cell
crystal system: monoclinic
size of the total moment: 0.3 μB per cell
raw formation energy: -1153.6 meV per atom

=====

Density functional theory data (PBE) for a relaxed Ba2TeAu crystal.

```
data_Ba2TeAu
_chemical_formula_sum 'Ba4 Te2 Au2'
_symmetry_space_group_name_H-M 'P 1'
_symmetry_Int_Tables_number 1
_cell_length_a 7.736
_cell_length_b 7.736
_cell_length_c 7.736
_cell_angle_alpha 110.40
_cell_angle_beta 110.40
_cell_angle_gamma 107.63
loop_
_symmetry_equiv_pos_as_xyz
'x,y,z'
loop_
_atom_site_label
_atom_site_type_symbol
_atom_site_fract_x
_atom_site_fract_y
_atom_site_fract_z
Ba1 Ba 0.111 0.125 0.486
Ba2 Ba 0.375 0.889 0.014
Ba3 Ba 0.639 0.625 0.514
Ba4 Ba 0.875 0.361 0.986
Te1 Te 0.250 0.750 0.500
Te2 Te 0.500 0.500 0.000
Au1 Au 0.000 0.000 0.000
Au2 Au 0.750 0.250 0.500
```

## Properties
Fermi-level density of states: 4.90 states/eV/cell
crystal system: tetragonal
size of the total moment: 1.8 μB per cell
raw formation energy: -965.9 meV per atom

=====

Density functional theory data (PBE) for a relaxed Ba2TeAu2 crystal.

```
data_Ba2TeAu2
_chemical_formula_sum 'Ba2 Te1 Au2'
_symmetry_space_group_name_H-M 'P 1'
_symmetry_Int_Tables_number 1
_cell_length_a 6.748
_cell_length_b 6.748
_cell_length_c 6.748
_cell_angle_alpha 127.50
_cell_angle_beta 127.50
_cell_angle_gamma 77.44
loop_
_symmetry_equiv_pos_as_xyz
'x,y,z'
loop_
_atom_site_label
_atom_site_type_symbol
_atom_site_fract_x
_atom_site_fract_y
_atom_site_fract_z
Ba1 Ba 0.250 0.750 0.500
Ba2 Ba 0.750 0.250 0.500
Te1 Te 0.000 0.000 0.000
Au1 Au 0.371 0.371 0.000
Au2 Au 0.629 0.629 0.000
```

## Properties
Fermi-level density of states: 0.00 states/eV/cell
crystal system: tetragonal
size of the total moment: 0.0 μB per cell
raw formation energy: -819.9 meV per atom

=====

Density functional theory data (PBE) for a relaxed BaTeAu2 crystal.

```
data_BaTeAu2
_chemical_formula_sum 'Ba1 Te1 Au2'
_symmetry_space_group_name_H-M 'P 1'
_symmetry_Int_Tables_number 1
_cell_length_a 4.126
_cell_length_b 4.126
_cell_length_c 6.672
_cell_angle_alpha 90.00
_cell_angle_beta 90.00
_cell_angle_gamma 90.00
loop_
_symmetry_equiv_pos_as_xyz
'x,y,z'
loop_
_atom_site_label
_atom_site_type_symbol
_atom_site_fract_x
_atom_site_fract_y
_atom_site_fract_z
Ba1 Ba 0.000 0.000 0.000
Te1 Te 0.000 0.000 0.500
Au1 Au 0.500 0.500 0.285
Au2 Au 0.500 0.500 0.715
```

## Properties
Fermi-level density of states: 1.41 states/eV/cell
crystal system: tetragonal
size of the total moment: 0.0 μB per cell
raw formation energy: -383.4 meV per atom

=====

Density functional theory data (PBE) for a relaxed Ba2TeAu2 crystal.

```
data_Ba2TeAu2
_chemical_formula_sum 'Ba4 Te2 Au4'
_symmetry_space_group_name_H-M 'P 1'
_symmetry_Int_Tables_number 1
_cell_length_a 8.732
_cell_length_b 8.732
_cell_length_c 4.350
_cell_angle_alpha 90.00
_cell_angle_beta 90.00
_cell_angle_gamma 90.00
loop_
_symmetry_equiv_pos_as_xyz
'x,y,z'
loop_
_atom_site_label
_atom_site_type_symbol
_atom_site_fract_x
_atom_site_fract_y
_atom_site_fract_z
Ba1 Ba 0.185 0.315 0.000
Ba2 Ba 0.315 0.815 0.000
Ba3 Ba 0.685 0.185 0.000
Ba4 Ba 0.815 0.685 0.000
Te1 Te 0.000 0.000 0.500
Te2 Te 0.500 0.500 0.500
Au1 Au 0.114 0.614 0.500
Au2 Au 0.386 0.114 0.500
Au3 Au 0.614 0.886 0.500
Au4 Au 0.886 0.386 0.500
```

## Properties
Fermi-level density of states: 3.83 states/eV/cell
crystal system: tetragonal
size of the total moment: 0.0 μB per cell
raw formation energy: -938.7 meV per atom

=====

Density functional theory data (PBE) for a relaxed BaTe2Au2 crystal.

```
data_BaTe2Au2
_chemical_formula_sum 'Ba2 Te4 Au4'
_symmetry_space_group_name_H-M 'P 1'
_symmetry_Int_Tables_number 1
_cell_length_a 8.352
_cell_length_b 8.352
_cell_length_c 4.037
_cell_angle_alpha 90.00
_cell_angle_beta 90.00
_cell_angle_gamma 90.00
loop_
_symmetry_equiv_pos_as_xyz
'x,y,z'
loop_
_atom_site_label
_atom_site_type_symbol
_atom_site_fract_x
_atom_site_fract_y
_atom_site_fract_z
Ba1 Ba 0.000 0.000 0.000
Ba2 Ba 0.500 0.500 0.000
Te1 Te 0.206 0.294 0.500
Te2 Te 0.294 0.794 0.500
Te3 Te 0.706 0.206 0.500
Te4 Te 0.794 0.706 0.500
Au1 Au 0.114 0.614 0.000
Au2 Au 0.386 0.114 0.000
Au3 Au 0.614 0.886 0.000
Au4 Au 0.886 0.386 0.000
```

## Properties
Fermi-level density of states: 3.92 states/eV/cell
crystal system: tetragonal
size of the total moment: 0.0 μB per cell
raw formation energy: -542.1 meV per atom

=====

> Number 6 is which compound?

BaTeAu2